# PBE TbGd2Sn2Pb5, optimized geometry
data_TbGd2Sn2Pb5
_chemical_formula_sum 'Tb2 Gd4 Sn4 Pb10'
_symmetry_space_group_name_H-M 'C m m m'
_symmetry_Int_Tables_number 65
_symmetry_space_group_name_Hall '-C 2 2'
_cell_length_a 4.640
_cell_length_b 25.924
_cell_length_c 4.705
_cell_angle_alpha 90.00
_cell_angle_beta 90.00
_cell_angle_gamma 90.00
loop_
_atom_site_label
_atom_site_fract_x
_atom_site_fract_y
_atom_site_fract_z
Tb1 0.000 0.000 0.000
Gd1 0.000 0.191 0.000
Sn1 0.000 0.291 0.500
Pb1 0.000 0.099 0.500
Pb2 0.000 0.403 0.000
Pb3 0.000 0.500 0.500
# Energy   -4.4698 eV per atom
# Magnetization   0.0 μB per cell

***

# PBE Y3Ni2Ge4, optimized geometry
data_Y3Ni2Ge4
_chemical_formula_sum 'Y6 Ni4 Ge8'
_symmetry_space_group_name_H-M 'C 1 2/m 1'
_symmetry_Int_Tables_number 12
_cell_length_a 10.613
_cell_length_b 4.171
_cell_length_c 8.083
_cell_angle_alpha 90.00
_cell_angle_beta 106.71
_cell_angle_gamma 90.00
loop_
_symmetry_equiv_pos_as_xyz
'x,y,z'
'-x,-y,-z'
'-x,y,-z'
'x,-y,z'
'x+1/2,y+1/2,z'
'-x+1/2,-y+1/2,-z'
'-x+1/2,y+1/2,-z'
'x+1/2,-y+1/2,z'
loop_
_atom_site_label
_atom_site_fract_x
_atom_site_fract_y
_atom_site_fract_z
Y1 0.000 0.000 0.000
Y2 0.125 0.500 0.694
Ni1 0.192 0.500 0.369
Ge1 0.091 0.000 0.400
Ge2 0.208 0.500 0.077
# Energy   -6.2362 eV per atom
# Magnetization   0.0 μB per cell

***

# PBE SiGePt2, optimized geometry
data_SiGePt2
_chemical_formula_sum 'Si2 Ge2 Pt4'
_symmetry_space_group_name_H-M 'P 1 21/m 1'
_symmetry_Int_Tables_number 11
_cell_length_a 5.729
_cell_length_b 3.686
_cell_length_c 6.119
_cell_angle_alpha 90.00
_cell_angle_beta 90.32
_cell_angle_gamma 90.00
loop_
_symmetry_equiv_pos_as_xyz
'x,y,z'
'-x,-y,-z'
'-x,y+1/2,-z'
'x,-y+1/2,z'
loop_
_atom_site_label
_atom_site_fract_x
_atom_site_fract_y
_atom_site_fract_z
Si1 0.185 0.250 0.418
Ge1 0.316 0.750 0.913
Pt1 0.006 0.750 0.209
Pt2 0.499 0.750 0.318
# Energy   -6.1166 eV per atom
# Magnetization   0.0 μB per cell

***

# PBE SrHgTeO, optimized geometry
data_SrHgTeO
_chemical_formula_sum 'Sr8 Hg8 Te8 O8'
_symmetry_space_group_name_H-M 'P b c a'
_symmetry_Int_Tables_number 61
_cell_length_a 6.372
_cell_length_b 9.414
_cell_length_c 14.605
_cell_angle_alpha 90.00
_cell_angle_beta 90.00
_cell_angle_gamma 90.00
loop_
_symmetry_equiv_pos_as_xyz
'x,y,z'
'-x,-y,-z'
'-x+1/2,-y,z+1/2'
'x+1/2,y,-z+1/2'
'x+1/2,-y+1/2,-z'
'-x+1/2,y+1/2,z'
'-x,y+1/2,-z+1/2'
'x,-y+1/2,z+1/2'
loop_
_atom_site_label
_atom_site_fract_x
_atom_site_fract_y
_atom_site_fract_z
Sr1 0.064 0.250 0.131
Hg1 0.250 0.000 0.277
Te1 0.250 0.000 0.490
O1 0.213 0.749 0.260
# Energy   -3.5349 eV per atom

***

# PBE PmGeAsO, optimized geometry
data_PmGeAsO
_chemical_formula_sum 'Pm2 Ge2 As2 O2'
_symmetry_space_group_name_H-M 'P 4/n m m'
_symmetry_Int_Tables_number 129
_cell_length_a 4.166
_cell_length_b 4.166
_cell_length_c 9.273
_cell_angle_alpha 90.00
_cell_angle_beta 90.00
_cell_angle_gamma 90.00
loop_
_symmetry_equiv_pos_as_xyz
'x,y,z'
'-x,-y,-z'
'-y+1/2,x,z'
'y+1/2,-x,-z'
'-x+1/2,-y+1/2,z'
'x+1/2,y+1/2,-z'
'y,-x+1/2,z'
'-y,x+1/2,-z'
'x+1/2,-y,-z'
'-x+1/2,y,z'
'-y,-x,-z'
'y,x,z'
'-x,y+1/2,-z'
'x,-y+1/2,z'
'y+1/2,x+1/2,-z'
'-y+1/2,-x+1/2,z'
loop_
_atom_site_label
_atom_site_fract_x
_atom_site_fract_y
_atom_site_fract_z
Pm1 0.250 0.250 0.117
Ge1 0.250 0.750 0.500
As1 0.250 0.250 0.695
O1 0.250 0.750 0.000
# Energy   -6.2165 eV per atom
# Magnetization   0.0 μB per cell

***

# PBE Y3Sc3Bi2Os, optimized geometry
data_Y3Sc3Bi2Os
_chemical_formula_sum 'Y3 Sc3 Bi2 Os1'
_symmetry_space_group_name_H-M 'P -6 2 m'
_symmetry_Int_Tables_number 189
_symmetry_space_group_name_Hall 'P -6 -2'
_cell_length_a 7.9582
_cell_length_b 7.9582
_cell_length_c 4.2246
_cell_angle_alpha 90.00
_cell_angle_beta 90.00
_cell_angle_gamma 120.00
loop_
_atom_site_label
_atom_site_fract_x
_atom_site_fract_y
_atom_site_fract_z
Y1 0.0000 0.3875 0.0000
Sc1 0.0000 0.7780 0.5000
Bi1 0.3333 0.6667 0.5000
Os1 0.0000 0.0000 0.0000
# Energy   -7.0421 eV per atom
# Magnetization   0.0 μB per cell

***

# PBE CuIr3Pb5, optimized geometry
data_CuIr3Pb5
_chemical_formula_sum 'Cu1 Ir3 Pb5'
_symmetry_space_group_name_H-M 'P 6/m m m'
_symmetry_Int_Tables_number 191
_symmetry_space_group_name_Hall '-P 6 2'
_cell_length_a 5.6788
_cell_length_b 5.6788
_cell_length_c 8.0689
_cell_angle_alpha 90.00
_cell_angle_beta 90.00
_cell_angle_gamma 120.00
loop_
_atom_site_label
_atom_site_fract_x
_atom_site_fract_y
_atom_site_fract_z
Cu1 0.0000 0.0000 0.0000
Ir1 0.0000 0.5000 0.5000
Pb1 0.0000 0.0000 0.5000
Pb2 0.3333 0.6667 0.2075
# Energy   -5.0723 eV per atom
# Magnetization   0.0 μB per cell

***

# PBE HoEr3Cu4, optimized geometry
data_HoEr3Cu4
_chemical_formula_sum 'Ho1 Er3 Cu4'
_symmetry_space_group_name_H-M 'P 1 m 1'
_symmetry_Int_Tables_number 6
_cell_length_a 5.314
_cell_length_b 4.444
_cell_length_c 7.043
_cell_angle_alpha 90.00
_cell_angle_beta 90.01
_cell_angle_gamma 90.00
loop_
_symmetry_equiv_pos_as_xyz
'x,y,z'
'x,-y,z'
loop_
_atom_site_label
_atom_site_fract_x
_atom_site_fract_y
_atom_site_fract_z
Ho1 0.000 0.000 0.000
Er1 0.269 0.500 0.364
Er2 0.500 0.500 0.864
Er3 0.769 0.000 0.500
Cu1 0.007 0.500 0.714
Cu2 0.262 0.000 0.649
Cu3 0.507 0.000 0.149
Cu4 0.761 0.500 0.215
# Energy   -4.4188 eV per atom
# Magnetization   0.0 μB per cell
# ΔE_f   -0.28 eV/atom